The following is a PBE-GGA calculation of a geometry-optimized Sr3MgSb2O8 structure, from Alexandria via LeMat-Bulk.

abc: 5.8204 5.8204 7.5804
angles: 90.00 90.00 120.00
Fractional positions:
Sr 0.0000 0.0000 0.0000
Sr 0.3333 0.6667 0.6252
Sr 0.6667 0.3333 0.3748
Mg 0.0000 0.0000 0.5000
Sb 0.3333 0.6667 0.1963
Sb 0.6667 0.3333 0.8037
O 0.1650 0.3301 0.3315
O 0.1650 0.8350 0.3315
O 0.3301 0.1650 0.6685
O 0.3333 0.6667 0.9329
O 0.6667 0.3333 0.0671
O 0.6699 0.8350 0.3315
O 0.8350 0.1650 0.6685
O 0.8350 0.6699 0.6685

Symmetry: P-3m1
VASP energy in eV/atom: -5.9070